Entry from Alexandria: a relaxed FeSbPO2 crystal (GGA+U).

Calculated values
distance to the lowest polymorph of the same formula: 0.02 eV/f.u.
magnetic moment: 0.75 μB/atom

a = 3.920 Å, b = 3.920 Å, c = 5.314 Å
α = 90.00°, β = 90.00°, γ = 90.00°
Element x y z (fractional)
Fe  0.000  0.000  0.000
Sb  0.500  0.500  0.500
P  0.500  0.500  0.000
O  0.000  0.500  0.500
O  0.500  0.000  0.500